# 1
Tm2Cd2Rh after structural relaxation, computed with PBE.

a = 3.3728 Å, b = 3.3728 Å, c = 19.6226 Å
α = 90.00°, β = 90.00°, γ = 90.00°
Space group I4/mmm (No. 139)
Inequivalent atoms, fractional coordinates:
Tm: 0.0000 0.0000 0.0851
Cd: 0.0000 0.0000 0.2990
Rh: 0.0000 0.0000 0.5000

Values from the calculation:
The formation energy is -12.6 kcal/mol of atoms. The value obtained for the density of states at the Fermi level is 0.5974 states/eV/atom. As for the total energy: -4.17 eV/atom.

---

# 2
Tm7Cd2Rh2 after structural relaxation, computed with PBE.

a = 7.9348 Å, b = 10.7516 Å, c = 7.0459 Å
α = 90.00°, β = 90.00°, γ = 90.00°
Space group Cmmm (No. 65)
Inequivalent atoms, fractional coordinates:
Tm: 0.0000 0.0000 0.0000
Tm: 0.0000 0.5000 0.2441
Tm: 0.2500 0.2500 0.2512
Cd: 0.1776 0.0000 0.5000
Rh: 0.0000 0.2881 0.0000

Values from the calculation:
The formation energy is -8.5 kcal/mol of atoms. The value obtained for the density of states at the Fermi level is 0.9329 states/eV/atom. As for the total energy: -4.71 eV/atom.

---

# 3
Tm5CdRh2 after structural relaxation, computed with PBE.

a = 7.6472 Å, b = 7.6472 Å, c = 13.3220 Å
α = 90.00°, β = 90.00°, γ = 90.00°
Space group I4/mcm (No. 140)
Inequivalent atoms, fractional coordinates:
Tm: 0.0000 0.0000 0.0000
Tm: 0.1590 0.3410 0.1356
Cd: 0.0000 0.0000 0.2500
Rh: 0.1411 0.3589 0.5000

Values from the calculation:
The formation energy is -14.4 kcal/mol of atoms. The value obtained for the density of states at the Fermi level is 0.5725 states/eV/atom. As for the total energy: -5.37 eV/atom.

---

# 4
TmCd4Rh2 after structural relaxation, computed with PBE.

a = 4.1423 Å, b = 17.1155 Å, c = 4.1456 Å
α = 90.00°, β = 90.00°, γ = 90.00°
Space group Cmmm (No. 65)
Inequivalent atoms, fractional coordinates:
Tm: 0.0000 0.0000 0.0000
Cd: 0.0000 0.1778 0.5000
Cd: 0.0000 0.3239 0.0000
Rh: 0.0000 0.4285 0.5000

Values from the calculation:
The formation energy is -4.8 kcal/mol of atoms. The value obtained for the density of states at the Fermi level is 0.4887 states/eV/atom. As for the total energy: -3.47 eV/atom.

---

# 5
Tm2Cd2Rh3 after structural relaxation, computed with PBE.

a = 4.6710 Å, b = 4.6799 Å, c = 7.8308 Å
α = 72.62°, β = 89.98°, γ = 60.21°
Space group P-1 (No. 2)
Inequivalent atoms, fractional coordinates:
Tm: 0.1172 0.2660 0.3501
Cd: 0.3698 0.7605 0.1076
Rh: 0.2426 0.0143 0.7315
Rh: 0.5000 0.5000 0.5000

Values from the calculation:
The formation energy is -13.9 kcal/mol of atoms. The value obtained for the density of states at the Fermi level is 0.5099 states/eV/atom. As for the total energy: -5.29 eV/atom.

---

# 6
Tm5CdRh6 after structural relaxation, computed with PBE.

a = 4.7237 Å, b = 14.1864 Å, c = 6.7054 Å
α = 90.00°, β = 90.00°, γ = 90.00°
Space group Cmmm (No. 65)
Inequivalent atoms, fractional coordinates:
Tm: 0.0000 0.0000 0.0000
Tm: 0.0000 0.3334 0.0000
Tm: 0.0000 0.3404 0.5000
Cd: 0.0000 0.0000 0.5000
Rh: 0.0000 0.1685 0.2503
Rh: 0.0000 0.5000 0.2424

Values from the calculation:
The formation energy is -20.2 kcal/mol of atoms. The value obtained for the density of states at the Fermi level is 0.4252 states/eV/atom. As for the total energy: -6.49 eV/atom.

---

# 7
TmCd2Rh after structural relaxation, computed with PBE.

a = 4.0631 Å, b = 4.0631 Å, c = 4.9392 Å
α = 90.00°, β = 90.00°, γ = 90.00°
Space group P4/mmm (No. 123)
Inequivalent atoms, fractional coordinates:
Tm: 0.0000 0.0000 0.0000
Cd: 0.0000 0.5000 0.5000
Rh: 0.5000 0.5000 0.0000

Values from the calculation:
The formation energy is -8.3 kcal/mol of atoms. The value obtained for the density of states at the Fermi level is 0.4176 states/eV/atom. As for the total energy: -3.77 eV/atom.

---

# 8
Tm2CdRh4 after structural relaxation, computed with PBE.

a = 4.5413 Å, b = 4.5413 Å, c = 22.3534 Å
α = 90.00°, β = 90.00°, γ = 120.00°
Space group R-3m (No. 166, hexagonal axes)
Inequivalent atoms, fractional coordinates:
Tm: 0.0000 0.0000 0.2453
Cd: 0.0000 0.0000 0.0000
Rh: 0.0000 0.0000 0.1249
Rh: 0.0000 0.0000 0.3759

Values from the calculation:
The formation energy is -8.2 kcal/mol of atoms. The value obtained for the density of states at the Fermi level is 0.7799 states/eV/atom. As for the total energy: -5.97 eV/atom.

---

# 9
TmCdRh after structural relaxation, computed with PBE.

a = 5.0029 Å, b = 8.4043 Å, c = 5.7580 Å
α = 90.00°, β = 90.00°, γ = 90.00°
Space group Cmcm (No. 63)
Inequivalent atoms, fractional coordinates:
Tm: 0.0000 0.1622 0.2500
Cd: 0.0000 0.5000 0.0000
Rh: 0.0000 0.1785 0.7500

Values from the calculation:
The formation energy is -13.1 kcal/mol of atoms. The value obtained for the density of states at the Fermi level is 0.3709 states/eV/atom. As for the total energy: -4.81 eV/atom.

---

# 10
TmCd4Rh after structural relaxation, computed with PBE.

a = 7.9011 Å, b = 7.9011 Å, c = 7.9011 Å
α = 90.00°, β = 90.00°, γ = 90.00°
Space group F-43m (No. 216)
Inequivalent atoms, fractional coordinates:
Tm: 0.0000 0.0000 0.0000
Cd: 0.1243 0.1243 0.3757
Rh: 0.2500 0.2500 0.7500

Values from the calculation:
The formation energy is -3.2 kcal/mol of atoms. The value obtained for the density of states at the Fermi level is 0.1385 states/eV/atom. As for the total energy: -2.72 eV/atom.

---

# 11
Tm2CdRh after structural relaxation, computed with PBE.

a = 3.9205 Å, b = 3.9205 Å, c = 23.2659 Å
α = 90.00°, β = 90.00°, γ = 120.00°
Space group R3m (No. 160, hexagonal axes)
Inequivalent atoms, fractional coordinates:
Tm: 0.0000 0.0000 0.0000
Tm: 0.0000 0.0000 0.2035
Cd: 0.0000 0.0000 0.4359
Rh: 0.0000 0.0000 0.6006

Values from the calculation:
The formation energy is -11.3 kcal/mol of atoms. The value obtained for the density of states at the Fermi level is 0.4329 states/eV/atom. As for the total energy: -4.79 eV/atom. Its energy above the most stable polymorph in this dataset is 173 meV per atom.

---

# 12
YTmCdRh after structural relaxation, computed with PBE.

a = 7.1082 Å, b = 7.1082 Å, c = 7.1082 Å
α = 90.00°, β = 90.00°, γ = 90.00°
Space group F-43m (No. 216)
Inequivalent atoms, fractional coordinates:
Y: 0.0000 0.0000 0.0000
Tm: 0.0000 0.0000 0.5000
Cd: 0.2500 0.2500 0.2500
Rh: 0.2500 0.2500 0.7500

Values from the calculation:
The formation energy is -12.7 kcal/mol of atoms. The value obtained for the density of states at the Fermi level is 0.5919 states/eV/atom. As for the total energy: -5.35 eV/atom. Its energy above the most stable polymorph in this dataset is 89 meV per atom.